The following is a PBE calculation of a geometry-optimized RbHfF5 structure, from OQMD via LeMat-Bulk.

Values from the calculation:
calculated density: 6.14 Mg/m³
total energy: -45.20 eV per formula unit
crystal system: monoclinic

abc: 7.508 7.772 7.777
angles: 90.00 121.17 90.00
Element x y z (fractional)
Rb 0.907 0.500 0.203
Rb 0.907 0.000 0.703
F 0.202 0.712 0.133
Hf 0.500 0.838 0.837
Hf 0.500 0.662 0.337
Hf 0.500 0.162 0.163
F 0.499 0.293 0.936
F 0.317 0.501 0.409
F 0.499 0.207 0.436
F 0.501 0.707 0.064
F 0.200 0.212 0.067
F 0.500 0.935 0.293
F 0.200 0.288 0.567
F 0.798 0.212 0.367
F 0.500 0.065 0.707
F 0.800 0.712 0.433
F 0.500 0.435 0.207
F 0.800 0.788 0.933
Rb 0.093 0.000 0.297
F 0.683 0.499 0.591
F 0.798 0.288 0.867
F 0.202 0.788 0.633
F 0.683 0.001 0.091
Hf 0.500 0.338 0.663
F 0.317 0.999 0.909
Rb 0.093 0.500 0.797
F 0.501 0.793 0.564
F 0.500 0.565 0.793


The following is a PBE calculation of a geometry-optimized Rb2SrHfF6 structure, from OQMD via LeMat-Bulk.

Values from the calculation:
calculated density: 5.03 Mg/m³
total energy: -54.41 eV per formula unit
crystal system: trigonal

abc: 5.867 5.867 12.197
angles: 90.00 90.00 120.00
Element x y z (fractional)
F 0.852 0.151 0.371
Rb 0.667 0.333 0.560
Hf 0.000 0.000 0.750
F 0.299 0.148 0.371
F 0.701 0.852 0.629
Rb 0.333 0.667 0.440
Rb 0.333 0.667 0.060
F 0.849 0.701 0.371
F 0.299 0.151 0.129
Rb 0.667 0.333 0.940
F 0.151 0.852 0.871
Sr 0.667 0.333 0.250
F 0.852 0.701 0.129
F 0.148 0.849 0.629
F 0.151 0.299 0.629
F 0.148 0.299 0.871
F 0.849 0.148 0.129
F 0.701 0.849 0.871
Hf 0.000 0.000 0.250
Sr 0.333 0.667 0.750


The following is a PBE calculation of a geometry-optimized HfTl2F6 structure, from OQMD via LeMat-Bulk.

Values from the calculation:
calculated density: 6.62 Mg/m³
total energy: -52.59 eV per formula unit
crystal system: tetragonal

abc: 5.487 5.487 11.684
angles: 90.00 90.00 90.00
Element x y z (fractional)
F 0.175 0.175 0.125
Hf 0.000 0.000 0.000
Hf 0.500 0.500 0.500
F 0.175 0.175 0.875
F 0.242 0.242 0.500
F 0.825 0.825 0.875
Tl 0.000 0.000 0.668
Tl 0.500 0.500 0.832
F 0.258 0.742 0.000
F 0.325 0.675 0.625
F 0.675 0.325 0.625
Tl 0.000 0.000 0.332
F 0.325 0.675 0.375
F 0.675 0.325 0.375
F 0.758 0.758 0.500
F 0.742 0.258 0.000
F 0.825 0.825 0.125
Tl 0.500 0.500 0.168